[1]
A plane-wave DFT calculation with PBE was carried out for crystalline BeCd2Hg at its relaxed geometry.

a b c (Å): 6.8242 6.8242 6.8242
angles (deg): 90.00 90.00 90.00
With the nearest neighbours (Å) after each atom.
Space group Fm-3m (No. 225)
One atom of each set of equivalent atoms:
Be 0.0000 0.0000 0.0000 [4 per cell]  8 Cd 2.95
Cd 0.2500 0.2500 0.2500 [8 per cell]  4 Hg 2.95, 4 Be 2.95
Hg 0.0000 0.0000 0.5000 [4 per cell]  8 Cd 2.95

As for the total energy: -1.007 eV/atom. The calculation puts the polymorph energy (0 for the lowest one) at 1.00 eV/f.u. For the density, the calculation gives 9.08 g/cm3. As for the formation energy: 0.46 eV per atom.


[2]
A plane-wave DFT calculation with PBE was carried out for crystalline LiTbDy2 at its relaxed geometry.

a b c (Å): 3.4578 3.4578 36.4253
angles (deg): 90.00 90.00 120.00
With the nearest neighbours (Å) after each atom.
Space group R-3m (No. 166, hexagonal axes)
One atom of each set of equivalent atoms:
Li 0.0000 0.0000 0.0000 [3 per cell]  2 Dy 3.23, 6 Li 3.46
Tb 0.0000 0.0000 0.5000 [3 per cell]  6 Tb 3.46, 6 Dy 3.47
Dy 0.0000 0.0000 0.0887 [6 per cell]  1 Li 3.23, 6 Dy 3.46, 3 Tb 3.47

As for the total energy: -3.755 eV/atom. The calculation puts the polymorph energy (0 for the lowest one) at 0.45 eV/f.u. For the density, the calculation gives 6.48 g/cm3. As for the formation energy: 0.18 eV per atom.


[3]
A plane-wave DFT calculation with PBE was carried out for crystalline Tb6Tl5Hg at its relaxed geometry.

a b c (Å): 9.8114 11.3610 6.5065
angles (deg): 90.00 103.02 90.00
With the nearest neighbours (Å) after each atom.
Space group C2/m (No. 12)
One atom of each set of equivalent atoms:
Tb 0.2434 0.0000 0.2481 [4 per cell]  1 Hg 3.19, 5 Tl 3.23-3.28
Tb 0.2462 0.1646 0.7447 [8 per cell]  1 Hg 3.18, 5 Tl 3.23-3.26
Tl 0.0000 0.1730 0.0000 [4 per cell]  6 Tb 3.23-3.24
Tl 0.0000 0.3379 0.5000 [4 per cell]  6 Tb 3.24-3.25
Tl 0.0000 0.5000 0.0000 [2 per cell]  6 Tb 3.26-3.28
Hg 0.0000 0.0000 0.5000 [2 per cell]  6 Tb 3.18-3.19

As for the total energy: -3.601 eV/atom. The calculation puts the polymorph energy (0 for the lowest one) at 1.23 eV/f.u. For the density, the calculation gives 10.23 g/cm3. As for the formation energy: -0.27 eV per atom.


[4]
A plane-wave DFT calculation with PBE was carried out for crystalline BeCrFe2 at its relaxed geometry.

a b c (Å): 4.8239 7.6595 2.4012
angles (deg): 90.00 109.51 90.00
With the nearest neighbours (Å) after each atom.
Space group C2/m (No. 12)
One atom of each set of equivalent atoms:
Be 0.0000 0.0000 0.0000 [2 per cell]  4 Fe 2.37, 2 Be 2.40, 2 Cr 2.41
Cr 0.0000 0.5000 0.0000 [2 per cell]  4 Fe 2.37, 2 Cr 2.40, 2 Be 2.41
Fe 0.2500 0.2500 0.5000 [4 per cell]  2 Cr 2.37, 2 Be 2.37, 4 Fe 2.40-2.41

As for the total energy: -7.519 eV/atom. For the density, the calculation gives 6.86 g/cm3. As for the formation energy: 0.05 eV per atom.


[5]
A plane-wave DFT calculation with PBE was carried out for crystalline SrLa3As at its relaxed geometry.

a b c (Å): 5.7075 5.7075 5.7075
angles (deg): 90.00 90.00 90.00
With the nearest neighbours (Å) after each atom.
Space group Pm-3m (No. 221)
One atom of each set of equivalent atoms:
Sr 0.0000 0.0000 0.0000 [1 per cell]  6 La 2.85
La 0.0000 0.0000 0.5000 [3 per cell]  2 Sr 2.85
As 0.5000 0.5000 0.5000 [1 per cell]  12 La 4.04

As for the total energy: -3.354 eV/atom. The calculation puts the polymorph energy (0 for the lowest one) at 6.46 eV/f.u. For the density, the calculation gives 5.17 g/cm3. As for the formation energy: 0.87 eV per atom.


[6]
A plane-wave DFT calculation with PBE was carried out for crystalline Si2Ag at its relaxed geometry.

a b c (Å): 7.3674 7.3674 7.3674
angles (deg): 90.00 90.00 90.00
With the nearest neighbours (Å) after each atom.
Space group Fd-3m (No. 227, origin choice 2)
One atom of each set of equivalent atoms:
Si 0.0000 0.0000 0.0000 [16 per cell]  6 Si 2.60
Ag 0.1250 0.1250 0.6250 [8 per cell]  12 Si 3.05, 4 Ag 3.19

As for the total energy: -4.086 eV/atom. The calculation puts the polymorph energy (0 for the lowest one) at 0.49 eV/f.u. For the density, the calculation gives 5.45 g/cm3.


[7]
A plane-wave DFT calculation with PBE was carried out for crystalline KCaAg2F8 at its relaxed geometry.

a b c (Å): 6.0742 6.0742 9.8457
angles (deg): 90.00 90.00 90.00
With the nearest neighbours (Å) after each atom.
Space group I-4 (No. 82)
One atom of each set of equivalent atoms:
K 0.0000 0.0000 0.0000 [2 per cell]  8 F 2.79-2.91
Ca 0.0000 0.5000 0.7500 [2 per cell]  4 F 2.30
Ag 0.0000 0.0000 0.5000 [2 per cell]  4 F 1.97
Ag 0.0000 0.5000 0.2500 [2 per cell]  4 F 2.15
F 0.0581 0.3180 0.5146 [8 per cell]  1 Ag 1.97
F 0.1763 0.8046 0.2320 [8 per cell]  1 Ag 2.15, 1 Ca 2.30

As for the total energy: -4.040 eV/atom. For the density, the calculation gives 4.09 g/cm3.


[8]
A plane-wave DFT calculation with PBE was carried out for crystalline ZrInPt at its relaxed geometry.

a b c (Å): 3.2951 3.2951 11.0171
angles (deg): 90.00 90.00 90.00
With the nearest neighbours (Å) after each atom.
Space group I4mm (No. 107)
One atom of each set of equivalent atoms:
Zr 0.0000 0.0000 0.0000 [2 per cell]  4 Pt 2.83, 4 In 3.15
In 0.0000 0.0000 0.6924 [2 per cell]  4 Pt 2.93, 4 Zr 3.15
Pt 0.0000 0.0000 0.3540 [2 per cell]  4 Zr 2.83, 4 In 2.93

As for the total energy: -6.391 eV/atom. For the density, the calculation gives 11.14 g/cm3. As for the formation energy: -0.62 eV per atom.


Which value of density does entry 8 give?
11.14 g/cm3